(1)
This record from OQMD describes a geometry-optimized Y2Al3Co14 structure. The functional is GGA-PBE.

## Properties
E   -6.61 eV per atom

Cell: 8.3447 8.3447 8.1407 Å, 90.00 90.00 120.00°
Last column: nearest neighbours and their distance in Å.
Fractional coordinates of all 38 atoms:
Y 0.0000 0.0000 0.2500  18 Co 2.94-3.20
Y 0.0000 0.0000 0.7500  18 Co 2.94-3.20
Y 0.3333 0.6667 0.2500  14 Co 2.93-3.12, 6 Al 3.15
Y 0.6667 0.3333 0.7500  14 Co 2.93-3.12, 6 Al 3.15
Al 0.0000 0.5000 0.0000  10 Co 2.41-2.57
Al 0.0000 0.5000 0.5000  10 Co 2.41-2.57
Al 0.5000 0.0000 0.0000  10 Co 2.41-2.57
Al 0.5000 0.0000 0.5000  10 Co 2.41-2.57
Al 0.5000 0.5000 0.0000  10 Co 2.41-2.57
Al 0.5000 0.5000 0.5000  10 Co 2.41-2.57
Co 0.0461 0.3725 0.7500  6 Co 2.34-2.59, 2 Al 2.41
Co 0.0461 0.6736 0.7500  6 Co 2.34-2.59, 2 Al 2.41
Co 0.1628 0.3255 0.0157  6 Co 2.37-2.59, 2 Al 2.44
Co 0.1628 0.3255 0.4843  6 Co 2.37-2.59, 2 Al 2.44
Co 0.1628 0.8372 0.0157  6 Co 2.37-2.59, 2 Al 2.44
Co 0.1628 0.8372 0.4843  6 Co 2.37-2.59, 2 Al 2.44
Co 0.3255 0.1628 0.5157  6 Co 2.37-2.59, 2 Al 2.44
Co 0.3255 0.1628 0.9843  6 Co 2.37-2.59, 2 Al 2.44
Co 0.3264 0.3725 0.7500  6 Co 2.34-2.59, 2 Al 2.41
Co 0.3264 0.9539 0.7500  6 Co 2.34-2.59, 2 Al 2.41
Co 0.3333 0.6667 0.6100  1 Co 2.28
Co 0.3333 0.6667 0.8900  1 Co 2.28
Co 0.3725 0.0461 0.2500  6 Co 2.34-2.59, 2 Al 2.41
Co 0.3725 0.3264 0.2500  6 Co 2.34-2.59, 2 Al 2.41
Co 0.6275 0.6736 0.7500  6 Co 2.34-2.59, 2 Al 2.41
Co 0.6275 0.9539 0.7500  6 Co 2.34-2.59, 2 Al 2.41
Co 0.6667 0.3333 0.1100  1 Co 2.28
Co 0.6667 0.3333 0.3900  1 Co 2.28
Co 0.6736 0.0461 0.2500  6 Co 2.34-2.59, 2 Al 2.41
Co 0.6736 0.6275 0.2500  6 Co 2.34-2.59, 2 Al 2.41
Co 0.6745 0.8372 0.0157  6 Co 2.37-2.59, 2 Al 2.44
Co 0.6745 0.8372 0.4843  6 Co 2.37-2.59, 2 Al 2.44
Co 0.8372 0.1628 0.5157  6 Co 2.37-2.59, 2 Al 2.44
Co 0.8372 0.1628 0.9843  6 Co 2.37-2.59, 2 Al 2.44
Co 0.8372 0.6745 0.5157  6 Co 2.37-2.59, 2 Al 2.44
Co 0.8372 0.6745 0.9843  6 Co 2.37-2.59, 2 Al 2.44
Co 0.9539 0.3264 0.2500  6 Co 2.34-2.59, 2 Al 2.41
Co 0.9539 0.6275 0.2500  6 Co 2.34-2.59, 2 Al 2.41



(2)
This record from OQMD describes a geometry-optimized Y2Al9Co3 structure. The functional is GGA-PBE.

## Properties
E   -5.42 eV per atom

Cell: 7.3670 7.3670 9.3147 Å, 90.00 90.00 60.73°
Last column: nearest neighbours and their distance in Å.
Fractional coordinates of all 28 atoms:
Y 0.0065 0.6718 0.7500  11 Al 2.96-3.07
Y 0.3282 0.9935 0.7500  11 Al 2.96-3.07
Y 0.6718 0.0065 0.2500  11 Al 2.96-3.07
Y 0.9935 0.3282 0.2500  11 Al 2.96-3.07
Al 0.0016 0.3351 0.5709  3 Co 2.48-2.57, 4 Al 2.69-2.78
Al 0.0016 0.3351 0.9291  3 Co 2.48-2.57, 4 Al 2.69-2.78
Al 0.1245 0.8755 0.2500  2 Co 2.51, 6 Al 2.73-2.76
Al 0.3323 0.6677 0.5426  3 Co 2.51-2.54, 3 Al 2.62-2.69
Al 0.3323 0.6677 0.9574  3 Co 2.51-2.54, 3 Al 2.62-2.69
Al 0.3351 0.0016 0.0709  3 Co 2.48-2.57, 4 Al 2.69-2.78
Al 0.3351 0.0016 0.4291  3 Co 2.48-2.57, 4 Al 2.69-2.78
Al 0.3388 0.4465 0.2500  2 Co 2.50, 4 Al 2.73-2.78
Al 0.4465 0.3388 0.7500  2 Co 2.50, 4 Al 2.73-2.78
Al 0.5535 0.6612 0.2500  2 Co 2.50, 4 Al 2.73-2.78
Al 0.6612 0.5535 0.7500  2 Co 2.50, 4 Al 2.73-2.78
Al 0.6649 0.9984 0.5709  3 Co 2.48-2.57, 4 Al 2.69-2.78
Al 0.6649 0.9984 0.9291  3 Co 2.48-2.57, 4 Al 2.69-2.78
Al 0.6677 0.3323 0.0426  3 Co 2.51-2.54, 3 Al 2.62-2.69
Al 0.6677 0.3323 0.4574  3 Co 2.51-2.54, 3 Al 2.62-2.69
Al 0.8755 0.1245 0.7500  2 Co 2.51, 6 Al 2.73-2.76
Al 0.9984 0.6649 0.0709  3 Co 2.48-2.57, 4 Al 2.69-2.78
Al 0.9984 0.6649 0.4291  3 Co 2.48-2.57, 4 Al 2.69-2.78
Co 0.0000 0.0000 0.0000  8 Al 2.51-2.56
Co 0.0000 0.0000 0.5000  8 Al 2.51-2.56
Co 0.3291 0.3291 0.0000  8 Al 2.48-2.57
Co 0.3291 0.3291 0.5000  8 Al 2.48-2.57
Co 0.6709 0.6709 0.0000  8 Al 2.48-2.57
Co 0.6709 0.6709 0.5000  8 Al 2.48-2.57



(3)
This record from OQMD describes a geometry-optimized YAlCo structure. The functional is GGA-PBE.

## Properties
E   -5.08 eV per atom

Cell: 4.5994 4.5994 4.5994 Å, 60.00 60.00 60.00°
Last column: nearest neighbours and their distance in Å.
Fractional coordinates of all 3 atoms:
Y 0.0000 0.0000 0.0000  4 Co 2.82, 4 Al 2.82
Al 0.7500 0.7500 0.7500  4 Y 2.82
Co 0.2500 0.2500 0.2500  4 Y 2.82



(4)
This record from OQMD describes a geometry-optimized YAlZnCo structure. The functional is GGA-PBE.

## Properties
E   -4.78 eV per atom

Cell: 4.5587 4.5587 4.5587 Å, 60.00 60.00 60.00°
Last column: nearest neighbours and their distance in Å.
Fractional coordinates of all 4 atoms:
Y 0.0000 0.0000 0.0000  4 Zn 2.79, 4 Al 2.79
Al 0.2500 0.2500 0.2500  4 Co 2.79, 4 Y 2.79
Zn 0.7500 0.7500 0.7500  4 Co 2.79, 4 Y 2.79
Co 0.5000 0.5000 0.5000  4 Al 2.79, 4 Zn 2.79



(5)
This record from OQMD describes a geometry-optimized YAlZnCo structure. The functional is GGA-PBE.

## Properties
E   -4.87 eV per atom

Cell: 4.5631 4.5631 4.5631 Å, 60.00 60.00 60.00°
Last column: nearest neighbours and their distance in Å.
Fractional coordinates of all 4 atoms:
Y 0.0000 0.0000 0.0000  4 Zn 2.79, 4 Co 2.79
Al 0.5000 0.5000 0.5000  4 Co 2.79, 4 Zn 2.79
Zn 0.2500 0.2500 0.2500  4 Al 2.79, 4 Y 2.79
Co 0.7500 0.7500 0.7500  4 Al 2.79, 4 Y 2.79



(6)
This record from OQMD describes a geometry-optimized YZrAlCo2 structure. The functional is GGA-PBE.

## Properties
E   -6.98 eV per atom

Cell: 5.1779 5.1779 5.1779 Å, 133.85 117.90 80.75°
Last column: nearest neighbours and their distance in Å.
Fractional coordinates of all 5 atoms:
Y 0.0000 0.0000 0.0000  6 Co 2.74-2.87
Zr 0.5886 0.5886 0.0000  6 Co 2.76-2.86, 2 Al 3.06
Al 0.2978 0.7978 0.5000  4 Co 2.51
Co 0.0179 0.2931 0.7248  1 Co 2.40, 2 Al 2.51
Co 0.5683 0.2931 0.2752  1 Co 2.40, 2 Al 2.51



(7)
This record from OQMD describes a geometry-optimized AlZnCo structure. The functional is GGA-PBE.

## Properties
E   -4.06 eV per atom

Cell: 3.9855 3.9855 3.9855 Å, 60.00 60.00 60.00°
Last column: nearest neighbours and their distance in Å.
Fractional coordinates of all 3 atoms:
Al 0.0000 0.0000 0.0000  4 Co 2.44
Zn 0.5000 0.5000 0.5000  4 Co 2.44
Co 0.2500 0.2500 0.2500  4 Al 2.44, 4 Zn 2.44



(8)
This record from OQMD describes a geometry-optimized AlZnCo2 structure. The functional is GGA-PBE.

## Properties
E   -4.85 eV per atom

Cell: 4.0922 4.0922 4.0922 Å, 60.00 60.00 60.00°
Last column: nearest neighbours and their distance in Å.
Fractional coordinates of all 4 atoms:
Al 0.0000 0.0000 0.0000  4 Zn 2.51, 4 Co 2.51
Zn 0.7500 0.7500 0.7500  4 Co 2.51, 4 Al 2.51
Co 0.2500 0.2500 0.2500  4 Co 2.51, 4 Al 2.51
Co 0.5000 0.5000 0.5000  4 Co 2.51, 4 Zn 2.51



(9)
This record from OQMD describes a geometry-optimized AlZnCo structure. The functional is GGA-PBE.

## Properties
E   -3.83 eV per atom

Cell: 3.9965 3.9965 3.9965 Å, 60.00 60.00 60.00°
Last column: nearest neighbours and their distance in Å.
Fractional coordinates of all 3 atoms:
Al 0.0000 0.0000 0.0000  4 Co 2.45, 4 Zn 2.45
Zn 0.2500 0.2500 0.2500  4 Al 2.45
Co 0.7500 0.7500 0.7500  4 Al 2.45



(10)
This record from OQMD describes a geometry-optimized ZrAlCo2 structure. The functional is GGA-PBE.

## Properties
E   -7.04 eV per atom

Cell: 4.2338 4.2338 3.1129 Å, 90.00 90.00 90.00°
Last column: nearest neighbours and their distance in Å.
Fractional coordinates of all 4 atoms:
Zr 0.0000 0.0000 0.0000  8 Co 2.63
Al 0.5000 0.5000 0.0000  8 Co 2.63
Co 0.0000 0.5000 0.5000  4 Zr 2.63, 4 Al 2.63
Co 0.5000 0.0000 0.5000  4 Zr 2.63, 4 Al 2.63



(11)
This record from OQMD describes a geometry-optimized ZrAlCo2 structure. The functional is GGA-PBE.

## Properties
E   -6.69 eV per atom

Cell: 4.2936 4.2936 4.2936 Å, 60.00 60.00 60.00°
Last column: nearest neighbours and their distance in Å.
Fractional coordinates of all 4 atoms:
Zr 0.0000 0.0000 0.0000  4 Co 2.63, 4 Al 2.63
Al 0.7500 0.7500 0.7500  4 Zr 2.63, 4 Co 2.63
Co 0.2500 0.2500 0.2500  4 Zr 2.63, 4 Co 2.63
Co 0.5000 0.5000 0.5000  4 Co 2.63, 4 Al 2.63



(12)
This record from OQMD describes a geometry-optimized ZrAlCo2 structure. The functional is GGA-PBE.

## Properties
E   -6.95 eV per atom

Cell: 6.6415 6.4118 5.4196 Å, 90.00 90.00 90.00°
Last column: nearest neighbours and their distance in Å.
Fractional coordinates of all 16 atoms:
Zr 0.0302 0.2500 0.1656  8 Co 2.69-2.93, 2 Al 2.84-2.86
Zr 0.4698 0.7500 0.6656  8 Co 2.69-2.93, 2 Al 2.84-2.86
Zr 0.5302 0.2500 0.3344  8 Co 2.69-2.93, 2 Al 2.84-2.86
Zr 0.9698 0.7500 0.8344  8 Co 2.69-2.93, 2 Al 2.84-2.86
Al 0.1040 0.7500 0.3327  6 Co 2.36-2.41
Al 0.3960 0.2500 0.8327  6 Co 2.36-2.41
Al 0.6040 0.7500 0.1673  6 Co 2.36-2.41
Al 0.8960 0.2500 0.6673  6 Co 2.36-2.41
Co 0.1897 0.0439 0.5762  3 Al 2.36-2.41
Co 0.1897 0.4561 0.5762  3 Al 2.36-2.41
Co 0.3103 0.5439 0.0762  3 Al 2.36-2.41
Co 0.3103 0.9561 0.0762  3 Al 2.36-2.41
Co 0.6897 0.0439 0.9238  3 Al 2.36-2.41
Co 0.6897 0.4561 0.9238  3 Al 2.36-2.41
Co 0.8103 0.5439 0.4238  3 Al 2.36-2.41
Co 0.8103 0.9561 0.4238  3 Al 2.36-2.41



Q: Look up the E of the sixth one.
A: -6.98 eV per atom